Entry 1:
BeFe3N: optimized geometry, GGA-PBEsol.

Cell lengths 3.6188, 3.6188, 3.6188 Å; angles 90.00, 90.00, 90.00 degrees
Closest atoms and distances in Å follow each position.
Positions (direct):
Be (0.0000, 0.0000, 0.0000)  12 Fe 2.56
Fe (0.0000, 0.5000, 0.5000)  2 N 1.81
Fe (0.5000, 0.0000, 0.5000)  2 N 1.81
Fe (0.5000, 0.5000, 0.0000)  2 N 1.81
N (0.5000, 0.5000, 0.5000)  6 Fe 1.81

Properties
ΔE_f (raw)	-192.2	meV per atom
space group	Pm-3m (221)
N(E_F)	4.396	states/eV/f.u.
VASP energy	-8.0757	eV per atom

=====

Entry 2:
BeFeN2: optimized geometry, GGA-PBEsol.

Cell lengths 2.5282, 2.5282, 17.2099 Å; angles 90.00, 90.00, 120.00 degrees
Closest atoms and distances in Å follow each position.
Positions (direct):
Be (0.0000, 0.0000, 0.0000)  6 N 1.85
Be (0.3333, 0.6667, 0.6667)  6 N 1.85
Be (0.6667, 0.3333, 0.3333)  6 N 1.85
Fe (0.0000, 0.0000, 0.5000)  2 N 1.73
Fe (0.3333, 0.6667, 0.1667)  2 N 1.73
Fe (0.6667, 0.3333, 0.8333)  2 N 1.73
N (0.0000, 0.0000, 0.3995)  1 Fe 1.73, 3 Be 1.85
N (0.0000, 0.0000, 0.6005)  1 Fe 1.73, 3 Be 1.85
N (0.3333, 0.6667, 0.0662)  1 Fe 1.73, 3 Be 1.85
N (0.3333, 0.6667, 0.2671)  1 Fe 1.73, 3 Be 1.85
N (0.6667, 0.3333, 0.7329)  1 Fe 1.73, 3 Be 1.85
N (0.6667, 0.3333, 0.9338)  1 Fe 1.73, 3 Be 1.85

Properties
ΔE_f (raw)	440.8	meV per atom
space group	R-3m (166)
N(E_F)	3.023	states/eV/f.u.
VASP energy	-7.0634	eV per atom